Density functional theory data (PBE-GGA) for a geometry-optimized Ca2PmCd2In2 structure.

a = 9.859 Å, b = 9.859 Å, c = 9.859 Å
α = 29.31°, β = 29.31°, γ = 29.31°
Positions (direct):
Ca (0.128, 0.128, 0.128)
Ca (0.872, 0.872, 0.872)
Pm (0.000, 0.000, 0.000)
Cd (0.392, 0.392, 0.392)
Cd (0.608, 0.608, 0.608)
In (0.260, 0.260, 0.260)
In (0.740, 0.740, 0.740)

space-group type = No. 166
ΔE_f = -0.347 eV/atom

Density functional theory data (PBE-GGA) for a geometry-optimized Nd8Y5Pu structure.

a = 8.544 Å, b = 8.544 Å, c = 9.479 Å
α = 121.79°, β = 121.79°, γ = 64.04°
Positions (direct):
Nd (0.035, 0.035, 0.363)
Nd (0.126, 0.479, 0.574)
Nd (0.393, 0.241, 0.290)
Nd (0.406, 0.094, 0.817)
Nd (0.521, 0.874, 0.426)
Nd (0.759, 0.607, 0.710)
Nd (0.906, 0.594, 0.183)
Nd (0.965, 0.965, 0.637)
Y (0.211, 0.577, 0.039)
Y (0.423, 0.789, 0.961)
Y (0.601, 0.329, 0.775)
Y (0.671, 0.399, 0.225)
Y (0.962, 0.038, 0.000)
Pu (0.316, 0.684, 0.500)

space-group type = No. 5
ΔE_f = 0.216 eV/atom

Density functional theory data (PBE-GGA) for a geometry-optimized LaTbHo2Se4 structure.

a = 7.130 Å, b = 4.070 Å, c = 7.257 Å
α = 90.00°, β = 108.73°, γ = 90.00°
Positions (direct):
La (0.000, 0.000, 0.000)
Tb (0.500, 0.500, 0.000)
Ho (0.000, 0.500, 0.500)
Ho (0.500, 0.000, 0.500)
Se (0.254, 0.000, 0.740)
Se (0.262, 0.500, 0.265)
Se (0.738, 0.500, 0.735)
Se (0.746, 0.000, 0.260)

space-group type = No. 10

Density functional theory data (PBE-GGA) for a geometry-optimized NaMnSb2Se structure.

a = 4.861 Å, b = 4.861 Å, c = 5.668 Å
α = 90.00°, β = 90.00°, γ = 90.00°
Positions (direct):
Na (0.000, 0.000, 0.000)
Mn (0.000, 0.000, 0.500)
Sb (0.000, 0.500, 0.500)
Sb (0.500, 0.000, 0.500)
Se (0.500, 0.500, 0.000)

space-group type = No. 123
E above lowest polymorph = 0.0 kJ/mol of atoms

Density functional theory data (PBE-GGA) for a geometry-optimized CaZnRe2 structure.

a = 10.288 Å, b = 10.288 Å, c = 10.288 Å
α = 157.68°, β = 157.68°, γ = 31.77°
Positions (direct):
Ca (0.000, 0.000, 0.000)
Ca (0.750, 0.250, 0.500)
Zn (0.250, 0.750, 0.500)
Zn (0.500, 0.500, 0.000)
Re (0.197, 0.625, 0.072)
Re (0.375, 0.447, 0.572)
Re (0.553, 0.125, 0.928)
Re (0.875, 0.803, 0.428)

space-group type = No. 122
ΔE_f = 0.767 eV/atom

Density functional theory data (PBE-GGA) for a geometry-optimized PmAlSiCl structure.

a = 13.496 Å, b = 13.496 Å, c = 13.496 Å
α = 17.83°, β = 17.83°, γ = 17.83°
Positions (direct):
Pm (0.084, 0.084, 0.084)
Pm (0.916, 0.916, 0.916)
Al (0.309, 0.309, 0.309)
Al (0.691, 0.691, 0.691)
Si (0.373, 0.373, 0.373)
Si (0.627, 0.627, 0.627)
Cl (0.209, 0.209, 0.209)
Cl (0.791, 0.791, 0.791)

space-group type = No. 166

Density functional theory data (PBE-GGA) for a geometry-optimized Np2Si4PtRh3 structure.

a = 4.097 Å, b = 4.097 Å, c = 10.043 Å
α = 90.00°, β = 90.00°, γ = 90.00°
Positions (direct):
Np (0.000, 0.500, 0.239)
Np (0.500, 0.000, 0.761)
Si (0.000, 0.000, 0.000)
Si (0.000, 0.500, 0.637)
Si (0.500, 0.000, 0.363)
Si (0.500, 0.500, 0.000)
Pt (0.000, 0.000, 0.500)
Rh (0.000, 0.500, 0.873)
Rh (0.500, 0.000, 0.127)
Rh (0.500, 0.500, 0.500)

space-group type = No. 115

Density functional theory data (PBE-GGA) for a geometry-optimized NbTc2RhN structure.

a = 4.025 Å, b = 4.025 Å, c = 4.229 Å
α = 90.00°, β = 90.00°, γ = 90.00°
Positions (direct):
Nb (0.000, 0.000, 0.000)
Tc (0.000, 0.500, 0.500)
Tc (0.500, 0.000, 0.500)
Rh (0.500, 0.500, 0.000)
N (0.000, 0.000, 0.500)

space-group type = No. 123

Density functional theory data (PBE-GGA) for a geometry-optimized Ho8Si3SeS4 structure.

a = 8.003 Å, b = 8.003 Å, c = 8.003 Å
α = 60.15°, β = 60.15°, γ = 60.15°
Positions (direct):
Ho (0.242, 0.753, 0.753)
Ho (0.247, 0.247, 0.758)
Ho (0.247, 0.758, 0.247)
Ho (0.249, 0.249, 0.249)
Ho (0.751, 0.751, 0.751)
Ho (0.753, 0.242, 0.753)
Ho (0.753, 0.753, 0.242)
Ho (0.758, 0.247, 0.247)
Si (0.000, 0.000, 0.500)
Si (0.000, 0.500, 0.000)
Si (0.500, 0.000, 0.000)
Se (0.500, 0.500, 0.500)
S (0.000, 0.000, 0.000)
S (0.000, 0.500, 0.500)
S (0.500, 0.000, 0.500)
S (0.500, 0.500, 0.000)

space-group type = No. 166

Density functional theory data (PBE-GGA) for a geometry-optimized HfTlPO2 structure.

a = 4.080 Å, b = 4.080 Å, c = 5.356 Å
α = 90.00°, β = 90.00°, γ = 90.00°
Positions (direct):
Hf (0.000, 0.000, 0.000)
Tl (0.500, 0.500, 0.500)
P (0.500, 0.500, 0.000)
O (0.000, 0.500, 0.500)
O (0.500, 0.000, 0.500)

space-group type = No. 123
E above lowest polymorph = 159.1 kJ/mol of atoms

Density functional theory data (PBE-GGA) for a geometry-optimized Dy8SiSe3S3 structure.

a = 8.034 Å, b = 8.034 Å, c = 8.034 Å
α = 59.24°, β = 59.24°, γ = 59.24°
Positions (direct):
Dy (0.242, 0.747, 0.747)
Dy (0.243, 0.243, 0.243)
Dy (0.253, 0.253, 0.758)
Dy (0.253, 0.758, 0.253)
Dy (0.747, 0.242, 0.747)
Dy (0.747, 0.747, 0.242)
Dy (0.757, 0.757, 0.757)
Dy (0.758, 0.253, 0.253)
Si (0.500, 0.500, 0.500)
Se (0.000, 0.500, 0.500)
Se (0.500, 0.000, 0.500)
Se (0.500, 0.500, 0.000)
S (0.000, 0.000, 0.500)
S (0.000, 0.500, 0.000)
S (0.500, 0.000, 0.000)

space-group type = No. 166

Density functional theory data (PBE-GGA) for a geometry-optimized Ta2MoPt structure.

a = 5.167 Å, b = 5.167 Å, c = 5.167 Å
α = 141.32°, β = 127.19°, γ = 67.35°
Positions (direct):
Ta (0.243, 0.243, 0.000)
Ta (0.757, 0.757, 0.000)
Mo (0.000, 0.500, 0.500)
Pt (0.500, 0.000, 0.500)

space-group type = No. 71
ΔE_f = -0.248 eV/atom

| no. | E (eV/atom) |
| --- | --- |
| 1 | -2.64 |
| 2 | -5.84 |
| 3 | -5.88 |
| 4 | -4.19 |
| 5 | -6.28 |
| 6 | -4.95 |
| 7 | -8.29 |
| 8 | -9.56 |
| 9 | -6.09 |
| 10 | -5.43 |
| 11 | -5.98 |
| 12 | -10.39 |